# USbN2 (PBE, relaxed)
# E_form (uncorrected): -710 meV/atom
# crystal system: trigonal
# N(E_F): 4.16 states/eV/f.u.
# spin magnetization: 0.21 μB/atom
data_USbN2
_chemical_formula_sum 'U3 Sb3 N6'
_cell_length_a 3.5546
_cell_length_b 3.5546
_cell_length_c 19.8246
_cell_angle_alpha 90.00
_cell_angle_beta 90.00
_cell_angle_gamma 120.00
_space_group_name_H-M_alt 'R -3 m'
_space_group_IT_number 166
_space_group_name_Hall '-R 3 2"'
loop_
_atom_site_label
_atom_site_fract_x
_atom_site_fract_y
_atom_site_fract_z
U1 0.0000 0.0000 0.0000
Sb1 0.0000 0.0000 0.5000
N1 0.0000 0.0000 0.3798